Record 1
Here is an optimized crystal structure of BeSn3Se from Alexandria. Energies are from PBE.

abc: 4.9664 4.9664 4.9664
angles: 90.00 90.00 90.00
Space group Pm-3m (No. 221)
Inequivalent atoms, fractional coordinates:
Be1 0.0000 0.0000 0.0000 (multiplicity 1)
Sn1 0.0000 0.0000 0.5000 (multiplicity 3)
Se1 0.5000 0.5000 0.5000 (multiplicity 1)

Results
raw formation energy: 0.242 eV per atom
V: 24.50 Å³ per atom
Fermi-level density of states: 3.8 states/eV/cell



Record 2
Here is an optimized crystal structure of NdPaPbAu from Alexandria. Energies are from PBE.

abc: 7.5911 7.5911 7.5911
angles: 90.00 90.00 90.00
Space group F-43m (No. 216)
Inequivalent atoms, fractional coordinates:
Nd1 0.0000 0.0000 0.0000 (multiplicity 4)
Pa1 0.0000 0.0000 0.5000 (multiplicity 4)
Pb1 0.2500 0.2500 0.2500 (multiplicity 4)
Au1 0.2500 0.2500 0.7500 (multiplicity 4)

Results
formation energy from the elements: -0.191 eV per atom
V: 27.34 Å³ per atom
Fermi-level density of states: 33.6 states/eV/cell



Record 3
Here is an optimized crystal structure of FeAs2Ir from Alexandria. Energies are from PBE.

abc: 2.9046 2.9046 29.1431
angles: 90.00 90.00 120.00
Space group R3m (No. 160, hexagonal axes)
Inequivalent atoms, fractional coordinates:
Fe1 0.0000 0.0000 0.0000 (multiplicity 3)
As1 0.0000 0.0000 0.5284 (multiplicity 3)
As2 0.0000 0.0000 0.7259 (multiplicity 3)
Ir1 0.0000 0.0000 0.2604 (multiplicity 3)

Results
formation energy from the elements: 0.109 eV per atom
V: 17.74 Å³ per atom
Fermi-level density of states: 8.0 states/eV/cell



Record 4
Here is an optimized crystal structure of Ce2Nd3Ru2 from Alexandria. Energies are from PBE.

abc: 12.1288 3.8396 9.0760
angles: 90.00 111.75 90.00
Space group C2/m (No. 12)
Inequivalent atoms, fractional coordinates:
Ce1 0.1738 0.0000 0.3148 (multiplicity 4)
Nd1 0.0000 0.5000 0.5000 (multiplicity 2)
Nd2 0.1154 0.5000 0.9155 (multiplicity 4)
Ru1 0.2040 0.0000 0.7311 (multiplicity 4)

Results
formation energy from the elements: -0.238 eV per atom
V: 28.04 Å³ per atom
Fermi-level density of states: 22.3 states/eV/cell



Record 5
Here is an optimized crystal structure of FeSeS2Cl from Alexandria. Energies are from PBE.

abc: 4.4352 4.4352 4.5203
angles: 90.00 90.00 90.00
Space group P4/mmm (No. 123)
Inequivalent atoms, fractional coordinates:
Fe1 0.0000 0.0000 0.0000 (multiplicity 1)
Se1 0.5000 0.5000 0.5000 (multiplicity 1)
S1 0.0000 0.5000 0.0000 (multiplicity 2)
Cl1 0.0000 0.0000 0.5000 (multiplicity 1)

Results
raw formation energy: 0.387 eV per atom
V: 17.78 Å³ per atom
Fermi-level density of states: 4.3 states/eV/cell



Record 6
Here is an optimized crystal structure of ZrTiIn from Alexandria. Energies are from PBE.

abc: 8.1320 4.6862 7.6419
angles: 90.00 110.82 90.00
Space group C2/m (No. 12)
Inequivalent atoms, fractional coordinates:
Zr1 0.0000 0.0000 0.0000 (multiplicity 2)
Zr2 0.0000 0.5000 0.5000 (multiplicity 2)
Ti1 0.1296 0.0000 0.3883 (multiplicity 4)
In1 0.2379 0.5000 0.2124 (multiplicity 4)

Results
formation energy from the elements: 0.204 eV per atom
V: 22.68 Å³ per atom
Fermi-level density of states: 15.7 states/eV/cell



Record 7
Here is an optimized crystal structure of BaIn4Te from Alexandria. Energies are from PBE.

abc: 9.0987 9.0987 9.0987
angles: 90.00 90.00 90.00
Space group F-43m (No. 216)
Inequivalent atoms, fractional coordinates:
Ba1 0.0000 0.0000 0.0000 (multiplicity 4)
In1 0.1247 0.1247 0.6247 (multiplicity 16)
Te1 0.2500 0.2500 0.2500 (multiplicity 4)

Results
raw formation energy: -0.239 eV per atom
V: 31.39 Å³ per atom
Fermi-level density of states: 22.0 states/eV/cell



Record 8
Here is an optimized crystal structure of CsMoAu3 from Alexandria. Energies are from PBE.

abc: 5.9688 5.9688 5.9688
angles: 90.00 90.00 90.00
Space group Pm-3m (No. 221)
Inequivalent atoms, fractional coordinates:
Cs1 0.0000 0.0000 0.0000 (multiplicity 1)
Mo1 0.5000 0.5000 0.5000 (multiplicity 1)
Au1 0.0000 0.0000 0.5000 (multiplicity 3)

Results
formation energy from the elements: 1.990 eV per atom
V: 42.53 Å³ per atom
Fermi-level density of states: 7.0 states/eV/cell



Record 9
Here is an optimized crystal structure of TbAsIr from Alexandria. Energies are from PBE.

abc: 4.2770 4.2770 3.8265
angles: 90.00 90.00 120.00
Space group P-6m2 (No. 187)
Inequivalent atoms, fractional coordinates:
Tb1 0.0000 0.0000 0.0000 (multiplicity 1)
As1 0.3333 0.6667 0.5000 (multiplicity 1)
Ir1 0.6667 0.3333 0.5000 (multiplicity 1)

Results
formation energy from the elements: -0.941 eV per atom
V: 20.21 Å³ per atom
Fermi-level density of states: 2.3 states/eV/cell



Record 10
Here is an optimized crystal structure of La4Dy3In4 from Alexandria. Energies are from PBE.

abc: 3.6181 9.5251 19.9073
angles: 90.00 90.00 90.00
Space group Immm (No. 71)
Inequivalent atoms, fractional coordinates:
La1 0.0000 0.1665 0.1622 (multiplicity 8)
Dy1 0.0000 0.0000 0.4092 (multiplicity 4)
Dy2 0.0000 0.5000 0.5000 (multiplicity 2)
In1 0.0000 0.2794 0.0000 (multiplicity 4)
In2 0.0000 0.5000 0.2194 (multiplicity 4)

Results
formation energy from the elements: -0.337 eV per atom
V: 31.18 Å³ per atom
Fermi-level density of states: 20.6 states/eV/cell



Record 11
Here is an optimized crystal structure of BPbSe2 from Alexandria. Energies are from PBE.

abc: 4.1994 4.1994 23.7458
angles: 90.00 90.00 120.00
Space group R-3m (No. 166, hexagonal axes)
Inequivalent atoms, fractional coordinates:
B1 0.0000 0.0000 0.0000 (multiplicity 3)
Pb1 0.0000 0.0000 0.5000 (multiplicity 3)
Se1 0.0000 0.0000 0.0773 (multiplicity 6)

Results
raw formation energy: 0.205 eV per atom
V: 30.22 Å³ per atom
Fermi-level density of states: 5.1 states/eV/cell



Record 12
Here is an optimized crystal structure of MgRh2Se from Alexandria. Energies are from PBE.

abc: 3.1270 3.8083 5.2975
angles: 90.00 90.00 90.00
Space group Pmm2 (No. 25)
Inequivalent atoms, fractional coordinates:
Mg1 0.0000 0.0000 0.0000 (multiplicity 1)
Rh1 0.0000 0.0000 0.5012 (multiplicity 1)
Rh2 0.5000 0.5000 0.1972 (multiplicity 1)
Se1 0.5000 0.5000 0.6695 (multiplicity 1)

Results
raw formation energy: -0.258 eV per atom
V: 15.77 Å³ per atom
Fermi-level density of states: 2.6 states/eV/cell



Repeat the third record exactly.
Here is an optimized crystal structure of FeAs2Ir from Alexandria. Energies are from PBE.

abc: 2.9046 2.9046 29.1431
angles: 90.00 90.00 120.00
Space group R3m (No. 160, hexagonal axes)
Inequivalent atoms, fractional coordinates:
Fe1 0.0000 0.0000 0.0000 (multiplicity 3)
As1 0.0000 0.0000 0.5284 (multiplicity 3)
As2 0.0000 0.0000 0.7259 (multiplicity 3)
Ir1 0.0000 0.0000 0.2604 (multiplicity 3)

Results
formation energy from the elements: 0.109 eV per atom
V: 17.74 Å³ per atom
Fermi-level density of states: 8.0 states/eV/cell